Record 1
Entry from the Alexandria database: an optimized crystal structure of HgSb2Pb3 (PBE).

The space group is C2/c. Its formation energy without anion corrections is 0.029 eV/atom. The total moment comes out at 0.00 μB/f.u.

Cell: 6.8834 8.6333 7.4447 Å, 101.56 117.54 90.00°
Last column: nearest neighbours and their distance in Å.
Positions (direct):
Pb 0.7507 0.4208 0.6329  3 Sb 3.09-3.20, 2 Hg 3.31-3.36
Pb 0.2493 0.5792 0.3671  3 Sb 3.09-3.20, 2 Hg 3.31-3.36
Pb 0.1178 0.0792 0.3671  3 Sb 3.09-3.20, 2 Hg 3.31-3.36
Pb 0.6370 0.2500 0.0000  4 Sb 3.17-3.27, 1 Hg 3.33
Pb 0.8822 0.9208 0.6329  3 Sb 3.09-3.20, 2 Hg 3.31-3.36
Pb 0.3630 0.7500 0.0000  4 Sb 3.17-3.27, 1 Hg 3.33
Sb 0.2268 0.3966 0.6915  5 Pb 3.09-3.27, 1 Hg 3.18
Sb 0.7732 0.6034 0.3085  5 Pb 3.09-3.27, 1 Hg 3.18
Sb 0.4647 0.8966 0.6915  5 Pb 3.09-3.27, 1 Hg 3.18
Sb 0.5353 0.1034 0.3085  5 Pb 3.09-3.27, 1 Hg 3.18
Hg 0.8795 0.7500 0.0000  2 Sb 3.18, 6 Pb 3.31-3.56
Hg 0.1205 0.2500 0.0000  2 Sb 3.18, 6 Pb 3.31-3.56

***

Record 2
Entry from the Alexandria database: an optimized crystal structure of RbSmCuBr6 (PBE).

The space group is P1. Its formation energy without anion corrections is -1.303 eV/atom. The total moment comes out at 1.02 μB/f.u.

Cell: 7.0484 7.7152 7.7349 Å, 97.39 92.91 55.72°
Last column: nearest neighbours and their distance in Å.
Positions (direct):
Br 0.6080 0.3822 0.6733  1 Cu 2.48
Br 0.4024 0.6220 0.2137  1 Sm 2.76
Br 0.6494 0.9981 0.3418  1 Cu 2.47
Br 0.0184 0.5948 0.7180  1 Cu 2.46
Br 0.3580 0.0171 0.7447  1 Sm 2.80, 1 Cu 2.94
Br 0.0576 0.3580 0.2947  1 Cu 2.47
Rb 0.9356 0.0419 0.9999  6 Br 3.55-3.59
Cu 0.3356 0.3097 0.5231  4 Br 2.46-2.48
Sm 0.6348 0.6762 0.4909  6 Br 2.76-2.95

***

Record 3
Entry from the Alexandria database: an optimized crystal structure of CeZnSi2Pd5 (PBE).

The space group is P4/mmm. Its formation energy without anion corrections is -0.502 eV/atom. The total moment comes out at 1.10 μB/f.u.

Cell: 4.0974 4.0974 10.2465 Å, 90.00 90.00 90.00°
Last column: nearest neighbours and their distance in Å.
Positions (direct):
Pd 0.0000 0.5000 0.1549  2 Si 2.37, 2 Zn 2.59
Pd 0.0000 0.5000 0.8451  2 Si 2.37, 2 Zn 2.59
Pd 0.5000 0.0000 0.8451  2 Si 2.37, 2 Zn 2.59
Pd 0.5000 0.0000 0.1549  2 Si 2.37, 2 Zn 2.59
Pd 0.5000 0.5000 0.5000  2 Si 2.34
Zn 0.0000 0.0000 0.0000  8 Pd 2.59
Si 0.5000 0.5000 0.2713  5 Pd 2.34-2.37
Si 0.5000 0.5000 0.7287  5 Pd 2.34-2.37
Ce 0.0000 0.0000 0.5000  4 Pd 2.90

***

Which formula does entry 3 have? CeZnSi2Pd5

***

Which value of formation energy without anion corrections does entry 1 give? 0.029 eV/atom